[1]
Crystalline YTaP2S at its relaxed geometry. Source: Alexandria, functional PBE-GGA.

Cell lengths 4.8409, 4.8409, 4.7000 Å; angles 90.00, 90.00, 90.00 degrees
With the nearest neighbours (Å) after each atom.
Fractional positions:
1 Y 0.0000 0.0000 0.0000  8 P 3.37, 4 S 3.42
2 Ta 0.5000 0.5000 0.5000  2 S 2.35, 4 P 2.42
3 P 0.0000 0.5000 0.5000  2 Ta 2.42
4 P 0.5000 0.0000 0.5000  2 Ta 2.42
5 S 0.5000 0.5000 0.0000  2 Ta 2.35

Values from the calculation:
- E above lowest polymorph (meV per atom) = 0.0
- energy relative to the elements, uncorrected (eV/atom) = -0.52

---

[2]
Crystalline YTaPS2 at its relaxed geometry. Source: Alexandria, functional PBE-GGA.

Cell lengths 5.0326, 5.0326, 5.1931 Å; angles 90.00, 90.00, 90.00 degrees
With the nearest neighbours (Å) after each atom.
Fractional positions:
1 Y 0.0000 0.0000 0.0000  4 S 2.52, 2 P 2.60
2 Ta 0.5000 0.5000 0.5000  4 P 3.56, 8 S 3.62
3 P 0.0000 0.0000 0.5000  2 Y 2.60
4 S 0.0000 0.5000 0.0000  2 Y 2.52
5 S 0.5000 0.0000 0.0000  2 Y 2.52

Values from the calculation:
- E above lowest polymorph (meV per atom) = 1410.0
- energy relative to the elements, uncorrected (eV/atom) = 0.68

---

[3]
Crystalline YTaP2S at its relaxed geometry. Source: Alexandria, functional PBE-GGA.

Cell lengths 5.0885, 5.0885, 4.9380 Å; angles 90.00, 90.00, 90.00 degrees
With the nearest neighbours (Å) after each atom.
Fractional positions:
1 Y 0.0000 0.0000 0.0000  2 S 2.47, 4 P 2.54
2 Ta 0.5000 0.5000 0.5000  8 P 3.55, 4 S 3.60
3 P 0.0000 0.5000 0.0000  2 Y 2.54
4 P 0.5000 0.0000 0.0000  2 Y 2.54
5 S 0.0000 0.0000 0.5000  2 Y 2.47

Values from the calculation:
- E above lowest polymorph (meV per atom) = 1597.6
- energy relative to the elements, uncorrected (eV/atom) = 1.08

---

[4]
Crystalline YTaPS2 at its relaxed geometry. Source: Alexandria, functional PBE-GGA.

Cell lengths 4.7071, 4.7071, 4.9341 Å; angles 90.00, 90.00, 90.00 degrees
With the nearest neighbours (Å) after each atom.
Fractional positions:
1 Y 0.0000 0.0000 0.0000  4 P 3.33, 8 S 3.41
2 Ta 0.5000 0.5000 0.5000  4 S 2.35, 2 P 2.47
3 P 0.5000 0.5000 0.0000  2 Ta 2.47
4 S 0.0000 0.5000 0.5000  2 Ta 2.35
5 S 0.5000 0.0000 0.5000  2 Ta 2.35

Values from the calculation:
- E above lowest polymorph (meV per atom) = 0.0
- energy relative to the elements, uncorrected (eV/atom) = -0.73